Below is crystalline TaAl2Tl at its relaxed geometry, with properties calculated at the PBE level.

Summary:
The value obtained for the formation energy is 0.17 eV per atom. As for the energy above the most stable polymorph in this dataset: 0.045 eV/atom. The spin magnetization is 0.0 μB/cell. Its energy is -5.2585 eV per atom. The calculation puts the density at 10.11 Mg/m³.

Geometry as CIF:
```
data_TaAl2Tl
_symmetry_space_group_name_H-M 'P 1'
_symmetry_Int_Tables_number 1
_cell_length_a 5.357
_cell_length_b 5.357
_cell_length_c 5.357
_cell_angle_alpha 136.41
_cell_angle_beta 136.41
_cell_angle_gamma 63.35
loop_
_symmetry_equiv_pos_as_xyz
'x,y,z'
loop_
_atom_site_label
_atom_site_type_symbol
_atom_site_fract_x
_atom_site_fract_y
_atom_site_fract_z
Al1 Al 0.250 0.750 0.500
Al2 Al 0.000 0.000 0.000
Tl1 Tl 0.750 0.250 0.500
Ta1 Ta 0.500 0.500 0.000
```

***

Below is crystalline Mo2IrOs at its relaxed geometry, with properties calculated at the PBE level.

Summary:
The value obtained for the formation energy is -0.13 eV per atom. As for the energy above the most stable polymorph in this dataset: 0.004 eV/atom. The spin magnetization is 0.0 μB/cell. Its energy is -10.5668 eV per atom. The calculation puts the density at 15.84 Mg/m³.

Geometry as CIF:
```
data_Mo2IrOs
_symmetry_space_group_name_H-M 'P 1'
_symmetry_Int_Tables_number 1
_cell_length_a 4.796
_cell_length_b 4.796
_cell_length_c 4.797
_cell_angle_alpha 131.73
_cell_angle_beta 131.73
_cell_angle_gamma 70.64
loop_
_symmetry_equiv_pos_as_xyz
'x,y,z'
loop_
_atom_site_label
_atom_site_type_symbol
_atom_site_fract_x
_atom_site_fract_y
_atom_site_fract_z
Os1 Os 0.750 0.250 0.500
Mo1 Mo 0.000 0.000 0.000
Mo2 Mo 0.500 0.500 0.000
Ir1 Ir 0.250 0.750 0.500
```

***

Below is crystalline CsPd2Cl6 at its relaxed geometry, with properties calculated at the PBE level.

Summary:
As for the energy above the most stable polymorph in this dataset: 0.005 eV/atom. The spin magnetization is 3.0 μB/cell. Its energy is -3.1993 eV per atom. The calculation puts the density at 3.22 Mg/m³. The value obtained for the uncorrected formation energy is -719 meV/atom.

Geometry as CIF:
```
data_CsPd2Cl6
_symmetry_space_group_name_H-M 'P 1'
_symmetry_Int_Tables_number 1
_cell_length_a 6.539
_cell_length_b 6.539
_cell_length_c 7.777
_cell_angle_alpha 90.00
_cell_angle_beta 90.00
_cell_angle_gamma 120.00
loop_
_symmetry_equiv_pos_as_xyz
'x,y,z'
loop_
_atom_site_label
_atom_site_type_symbol
_atom_site_fract_x
_atom_site_fract_y
_atom_site_fract_z
Cs1 Cs 0.000 0.000 0.000
Cl1 Cl 0.000 0.629 0.323
Cl2 Cl 0.371 0.371 0.323
Cl3 Cl 0.629 0.629 0.677
Cl4 Cl 0.629 0.000 0.323
Cl5 Cl 0.000 0.371 0.677
Cl6 Cl 0.371 0.000 0.677
Pd1 Pd 0.667 0.333 0.500
Pd2 Pd 0.333 0.667 0.500
```

***

Below is crystalline DyAl2Au4 at its relaxed geometry, with properties calculated at the PBE level.

Summary:
The value obtained for the formation energy is -0.59 eV per atom. The spin magnetization is 0.0 μB/cell. Its energy is -4.1921 eV per atom. The calculation puts the density at 12.46 Mg/m³.

Geometry as CIF:
```
data_DyAl2Au4
_symmetry_space_group_name_H-M 'P 1'
_symmetry_Int_Tables_number 1
_cell_length_a 4.485
_cell_length_b 6.848
_cell_length_c 17.429
_cell_angle_alpha 90.00
_cell_angle_beta 90.00
_cell_angle_gamma 90.00
loop_
_symmetry_equiv_pos_as_xyz
'x,y,z'
loop_
_atom_site_label
_atom_site_type_symbol
_atom_site_fract_x
_atom_site_fract_y
_atom_site_fract_z
Al1 Al 0.250 0.759 0.036
Al2 Al 0.250 0.963 0.784
Al3 Al 0.250 0.537 0.284
Al4 Al 0.750 0.037 0.216
Al5 Al 0.250 0.741 0.536
Al6 Al 0.750 0.259 0.464
Al7 Al 0.750 0.241 0.964
Al8 Al 0.750 0.463 0.716
Dy1 Dy 0.250 0.022 0.358
Dy2 Dy 0.750 0.522 0.142
Dy3 Dy 0.750 0.978 0.642
Dy4 Dy 0.250 0.478 0.858
Au1 Au 0.750 0.179 0.816
Au2 Au 0.250 0.679 0.684
Au3 Au 0.250 0.256 0.692
Au4 Au 0.750 0.756 0.808
Au5 Au 0.250 0.476 0.429
Au6 Au 0.750 0.868 0.466
Au7 Au 0.250 0.132 0.534
Au8 Au 0.250 0.368 0.034
Au9 Au 0.250 0.024 0.929
Au10 Au 0.750 0.524 0.571
Au11 Au 0.750 0.744 0.308
Au12 Au 0.750 0.321 0.316
Au13 Au 0.250 0.821 0.184
Au14 Au 0.750 0.632 0.966
Au15 Au 0.250 0.244 0.192
Au16 Au 0.750 0.976 0.071
```